No. 1
# CdInHg2, relaxed, DFT PBE
# E_form ... 10.8 kJ/mol of formula units
# Size of the total moment ... 0.00 μB per cell
# Fermi-level density of states ... 6.3 states/eV per cell
data_CdInHg2
_space_group_name_H-M_alt 'R 3 m'
_space_group_IT_number 160
_space_group_name_Hall 'R 3 -2"'
_cell_length_a 3.3701
_cell_length_b 3.3701
_cell_length_c 31.4514
_cell_angle_alpha 90.00
_cell_angle_beta 90.00
_cell_angle_gamma 120.00
loop_
_atom_site_label
_atom_site_fract_x
_atom_site_fract_y
_atom_site_fract_z
Cd1 0.0000 0.0000 0.0000
In1 0.0000 0.0000 0.7496
Hg1 0.0000 0.0000 0.2517
Hg2 0.0000 0.0000 0.5019


No. 2
# Zr3BeGa3, relaxed, DFT PBE
# E_form ... -372.7 kJ/mol of formula units
# Size of the total moment ... 0.00 μB per cell
# Fermi-level density of states ... 17.3 states/eV per cell
data_Zr3BeGa3
_space_group_name_H-M_alt 'C 1 2/m 1'
_space_group_IT_number 12
_space_group_name_Hall '-C 2y'
_cell_length_a 10.0910
_cell_length_b 3.9179
_cell_length_c 13.3162
_cell_angle_alpha 90.00
_cell_angle_beta 109.29
_cell_angle_gamma 90.00
loop_
_atom_site_label
_atom_site_fract_x
_atom_site_fract_y
_atom_site_fract_z
Zr1 0.0195 0.0000 0.3787
Zr2 0.1064 0.0000 0.9201
Zr3 0.2439 0.0000 0.2295
Be1 0.2356 0.5000 0.3844
Ga1 0.0278 0.5000 0.2338
Ga2 0.1162 0.5000 0.0751
Ga3 0.1472 0.5000 0.5432


No. 3
# Ta2InRe, relaxed, DFT PBE
# E_form ... 255.5 kJ/mol of formula units
# Size of the total moment ... 0.00 μB per cell
# Fermi-level density of states ... 9.6 states/eV per cell
data_Ta2InRe
_space_group_name_H-M_alt 'I -4 2 d'
_space_group_IT_number 122
_space_group_name_Hall 'I -4 2bw'
_cell_length_a 7.6698
_cell_length_b 7.6698
_cell_length_c 5.5489
_cell_angle_alpha 90.00
_cell_angle_beta 90.00
_cell_angle_gamma 90.00
loop_
_atom_site_label
_atom_site_fract_x
_atom_site_fract_y
_atom_site_fract_z
Ta1 0.1981 0.2500 0.1250
In1 0.0000 0.0000 0.5000
Re1 0.0000 0.0000 0.0000


No. 4
# LiLaPmCd, relaxed, DFT PBE
# E_form ... -46.1 kJ/mol of formula units
# Size of the total moment ... 0.47 μB per cell
# Fermi-level density of states ... 25.4 states/eV per cell
data_LiLaPmCd
_space_group_name_H-M_alt 'F -4 3 m'
_space_group_IT_number 216
_space_group_name_Hall 'F -4 2 3'
_cell_length_a 7.7297
_cell_length_b 7.7297
_cell_length_c 7.7297
_cell_angle_alpha 90.00
_cell_angle_beta 90.00
_cell_angle_gamma 90.00
loop_
_atom_site_label
_atom_site_fract_x
_atom_site_fract_y
_atom_site_fract_z
Li1 0.0000 0.0000 0.0000
La1 0.2500 0.2500 0.7500
Pm1 0.2500 0.2500 0.2500
Cd1 0.0000 0.0000 0.5000


No. 5
# PrSi3Ni5, relaxed, DFT PBE
# Formation energy (no corrections) ... -0.6814 eV per atom
# Size of the total moment ... 0.00 μB per cell
# Fermi-level density of states ... 18.7 states/eV per cell
data_PrSi3Ni5
_space_group_name_H-M_alt 'C m c m'
_space_group_IT_number 63
_space_group_name_Hall '-C 2c 2'
_cell_length_a 3.7106
_cell_length_b 11.7441
_cell_length_c 11.6542
_cell_angle_alpha 90.00
_cell_angle_beta 90.00
_cell_angle_gamma 90.00
loop_
_atom_site_label
_atom_site_fract_x
_atom_site_fract_y
_atom_site_fract_z
Pr1 0.0000 0.1623 0.2500
Si1 0.0000 0.1119 0.7500
Si2 0.0000 0.3835 0.5378
Ni1 0.0000 0.0000 0.0000
Ni2 0.0000 0.1965 0.5664
Ni3 0.0000 0.4486 0.1455


No. 6
# SmHo2Tl9, relaxed, DFT PBE
# E_form ... -281.8 kJ/mol of formula units
# Size of the total moment ... 0.00 μB per cell
# Fermi-level density of states ... 3.0 states/eV per cell
data_SmHo2Tl9
_space_group_name_H-M_alt 'P 4/m m m'
_space_group_IT_number 123
_space_group_name_Hall '-P 4 2'
_cell_length_a 4.7754
_cell_length_b 4.7754
_cell_length_c 14.3267
_cell_angle_alpha 90.00
_cell_angle_beta 90.00
_cell_angle_gamma 90.00
loop_
_atom_site_label
_atom_site_fract_x
_atom_site_fract_y
_atom_site_fract_z
Sm1 0.0000 0.0000 0.0000
Ho1 0.0000 0.0000 0.3341
Tl1 0.0000 0.5000 0.1690
Tl2 0.0000 0.5000 0.5000
Tl3 0.5000 0.5000 0.0000
Tl4 0.5000 0.5000 0.3342